1.
# K3InHg7 (PBE, optimized geometry)
# * E_tot: -40.4 eV per cell
# * V: 1524.6 Å³/cell
data_K3InHg7
_space_group_name_H-M_alt 'C m c m'
_space_group_IT_number 63
_space_group_name_Hall '-C 2c 2'
_cell_length_a 4.232
_cell_length_b 24.886
_cell_length_c 14.475
_cell_angle_alpha 90.00
_cell_angle_beta 90.00
_cell_angle_gamma 90.00
loop_
_atom_site_label
_atom_site_type_symbol
_atom_site_fract_x
_atom_site_fract_y
_atom_site_fract_z
K1 K 0.000 0.097 0.046
K2 K 0.000 0.243 0.750
In1 In 0.000 0.043 0.750
Hg1 Hg 0.000 0.292 0.510
Hg2 Hg 0.000 0.367 0.149
Hg3 Hg 0.000 0.414 0.750
Hg4 Hg 0.000 0.489 0.104

=====

2.
# KIn2Hg9 (PBE, optimized geometry)
# * energy above the lowest structure with this stoichiometry: 0.0000 eV/atom
# * V: 338.9 Å³/cell
data_KIn2Hg9
_space_group_name_H-M_alt 'P 4/m m m'
_space_group_IT_number 123
_space_group_name_Hall '-P 4 2'
_cell_length_a 4.972
_cell_length_b 4.972
_cell_length_c 13.706
_cell_angle_alpha 90.00
_cell_angle_beta 90.00
_cell_angle_gamma 90.00
loop_
_atom_site_label
_atom_site_type_symbol
_atom_site_fract_x
_atom_site_fract_y
_atom_site_fract_z
K1 K 0.000 0.000 0.000
In1 In 0.000 0.000 0.346
Hg1 Hg 0.000 0.500 0.184
Hg2 Hg 0.000 0.500 0.500
Hg3 Hg 0.500 0.500 0.000
Hg4 Hg 0.500 0.500 0.345

=====

3.
# KIn2Hg (PBE, optimized geometry)
# * E_tot: -13.9 eV per cell
# * V: 246.7 Å³/cell
data_KIn2Hg
_space_group_name_H-M_alt 'I 4/m m m'
_space_group_IT_number 139
_space_group_name_Hall '-I 4 2'
_cell_length_a 4.675
_cell_length_b 4.675
_cell_length_c 11.290
_cell_angle_alpha 90.00
_cell_angle_beta 90.00
_cell_angle_gamma 90.00
loop_
_atom_site_label
_atom_site_type_symbol
_atom_site_fract_x
_atom_site_fract_y
_atom_site_fract_z
K1 K 0.000 0.000 0.000
In1 In 0.000 0.500 0.250
Hg1 Hg 0.000 0.000 0.500

=====

4.
# K3In5Hg6 (PBE, optimized geometry)
# * E_tot: -41.7 eV per cell
# * V: 837.0 Å³/cell
data_K3In5Hg6
_space_group_name_H-M_alt 'P m m n'
_space_group_IT_number 59
_cell_length_a 5.232
_cell_length_b 15.196
_cell_length_c 10.527
_cell_angle_alpha 90.00
_cell_angle_beta 90.00
_cell_angle_gamma 90.00
loop_
_space_group_symop_operation_xyz
'x,y,z'
'-x,-y,-z'
'-x+1/2,-y+1/2,z'
'x+1/2,y+1/2,-z'
'x+1/2,-y,-z'
'-x+1/2,y,z'
'-x,y+1/2,-z'
'x,-y+1/2,z'
loop_
_atom_site_label
_atom_site_type_symbol
_atom_site_fract_x
_atom_site_fract_y
_atom_site_fract_z
K1 K 0.250 0.048 0.246
K2 K 0.250 0.750 0.266
In1 In 0.250 0.088 0.599
In2 In 0.250 0.618 0.972
In3 In 0.250 0.750 0.744
Hg1 Hg 0.250 0.086 0.883
Hg2 Hg 0.250 0.250 0.065
Hg3 Hg 0.250 0.250 0.429
Hg4 Hg 0.250 0.608 0.538

=====

5.
# K4InHg2 (PBE, optimized geometry)
# * E_tot: -15.4 eV per cell
# * V: 773.7 Å³/cell
data_K4InHg2
_space_group_name_H-M_alt 'I 4/m m m'
_space_group_IT_number 139
_space_group_name_Hall '-I 4 2'
_cell_length_a 6.758
_cell_length_b 6.758
_cell_length_c 16.942
_cell_angle_alpha 90.00
_cell_angle_beta 90.00
_cell_angle_gamma 90.00
loop_
_atom_site_label
_atom_site_type_symbol
_atom_site_fract_x
_atom_site_fract_y
_atom_site_fract_z
K1 K 0.000 0.000 0.208
K2 K 0.000 0.500 0.000
In1 In 0.000 0.000 0.000
Hg1 Hg 0.000 0.000 0.410

=====

6.
# KIn5Hg8 (PBE, optimized geometry)
# * E_tot: -35.6 eV per cell
# * V: 786.0 Å³/cell
data_KIn5Hg8
_space_group_name_H-M_alt 'I -4'
_space_group_IT_number 82
_space_group_name_Hall 'I -4'
_cell_length_a 9.141
_cell_length_b 9.141
_cell_length_c 9.406
_cell_angle_alpha 90.00
_cell_angle_beta 90.00
_cell_angle_gamma 90.00
loop_
_atom_site_label
_atom_site_type_symbol
_atom_site_fract_x
_atom_site_fract_y
_atom_site_fract_z
K1 K 0.000 0.000 0.000
In1 In 0.000 0.500 0.750
In2 In 0.160 0.727 0.349
Hg1 Hg 0.065 0.838 0.664
Hg2 Hg 0.093 0.647 0.041

=====

7.
# K2InHg (PBE, optimized geometry)
# * energy above the lowest structure with this stoichiometry: 0.1210 eV/atom
# * V: 294.5 Å³/cell
data_K2InHg
_space_group_name_H-M_alt 'I m m m'
_space_group_IT_number 71
_space_group_name_Hall '-I 2 2'
_cell_length_a 5.238
_cell_length_b 5.253
_cell_length_c 10.703
_cell_angle_alpha 90.00
_cell_angle_beta 90.00
_cell_angle_gamma 90.00
loop_
_atom_site_label
_atom_site_type_symbol
_atom_site_fract_x
_atom_site_fract_y
_atom_site_fract_z
K1 K 0.000 0.000 0.250
In1 In 0.000 0.500 0.000
Hg1 Hg 0.000 0.500 0.500

=====

8.
# K2LiInHg6 (PBE, optimized geometry)
# * E_tot: -10.4 eV per cell
# * V: 324.4 Å³/cell
data_K2LiInHg6
_space_group_name_H-M_alt 'P -1'
_space_group_IT_number 2
_space_group_name_Hall '-P 1'
_cell_length_a 6.968
_cell_length_b 7.654
_cell_length_c 7.689
_cell_angle_alpha 67.24
_cell_angle_beta 65.00
_cell_angle_gamma 64.34
loop_
_atom_site_label
_atom_site_type_symbol
_atom_site_fract_x
_atom_site_fract_y
_atom_site_fract_z
K1 K 0.231 0.357 0.190
Li1 Li 0.000 0.000 0.000
In1 In 0.500 0.500 0.500
Hg1 Hg 0.159 0.853 0.321
Hg2 Hg 0.232 0.761 0.766
Hg3 Hg 0.333 0.144 0.703

=====

9.
# K2LiIn3Hg12 (PBE, optimized geometry)
# * E_tot: -53.3 eV per cell
# * V: 1597.9 Å³/cell
data_K2LiIn3Hg12
_space_group_name_H-M_alt 'R -3 m'
_space_group_IT_number 166
_space_group_name_Hall '-R 3 2"'
_cell_length_a 6.8484
_cell_length_b 6.8484
_cell_length_c 39.3407
_cell_angle_alpha 90.00
_cell_angle_beta 90.00
_cell_angle_gamma 120.00
loop_
_atom_site_label
_atom_site_type_symbol
_atom_site_fract_x
_atom_site_fract_y
_atom_site_fract_z
K1 K 0.0000 0.0000 0.1410
Li1 Li 0.0000 0.0000 0.5000
In1 In 0.0000 0.5000 0.0000
Hg1 Hg 0.0071 0.5035 0.1147
Hg2 Hg 0.0310 0.5155 0.6103

=====

10.
# KLiInHg3 (PBE, optimized geometry)
# * E_tot: -30.6 eV per cell
# * V: 688.4 Å³/cell
data_KLiInHg3
_space_group_name_H-M_alt 'C m c m'
_space_group_IT_number 63
_space_group_name_Hall '-C 2c 2'
_cell_length_a 6.772
_cell_length_b 13.834
_cell_length_c 7.348
_cell_angle_alpha 90.00
_cell_angle_beta 90.00
_cell_angle_gamma 90.00
loop_
_atom_site_label
_atom_site_type_symbol
_atom_site_fract_x
_atom_site_fract_y
_atom_site_fract_z
K1 K 0.000 0.206 0.250
Li1 Li 0.000 0.442 0.250
In1 In 0.000 0.133 0.750
Hg1 Hg 0.000 0.350 0.750
Hg2 Hg 0.233 0.000 0.000

=====

11.
# KLiIn2Hg (PBE, optimized geometry)
# * E_tot: -9.0 eV per cell
# * V: 144.2 Å³/cell
data_KLiIn2Hg
_space_group_name_H-M_alt 'P 4/m m m'
_space_group_IT_number 123
_space_group_name_Hall '-P 4 2'
_cell_length_a 5.232
_cell_length_b 5.232
_cell_length_c 5.267
_cell_angle_alpha 90.00
_cell_angle_beta 90.00
_cell_angle_gamma 90.00
loop_
_atom_site_label
_atom_site_type_symbol
_atom_site_fract_x
_atom_site_fract_y
_atom_site_fract_z
K1 K 0.000 0.000 0.000
Li1 Li 0.500 0.500 0.500
In1 In 0.000 0.500 0.500
Hg1 Hg 0.500 0.500 0.000